VASP calculation (PBE) on a geometry-optimized PmMnH8Ir2 structure.

Properties
Uncorrected energy ... -60.48 eV per formula unit

Lattice parameters (Å, degrees): 4.6758 4.6758 15.7973 90.00 90.00 120.00
Space group R-3m (No. 166, hexagonal axes)
Inequivalent atoms, fractional coordinates:
Pm 0.0000 0.0000 0.0000
Mn 0.0000 0.0000 0.5000
H 0.0000 0.0000 0.3178
H 0.0492 0.5246 0.0788
Ir 0.0000 0.0000 0.2136

VASP calculation (PBE) on a geometry-optimized PrMnH8Ir2 structure.

Properties
Uncorrected energy ... -60.57 eV per formula unit

Lattice parameters (Å, degrees): 4.6970 4.6970 15.9707 90.00 90.00 120.00
Space group R-3m (No. 166, hexagonal axes)
Inequivalent atoms, fractional coordinates:
Pr 0.0000 0.0000 0.0000
Mn 0.0000 0.0000 0.5000
H 0.0000 0.0000 0.3163
H 0.0484 0.5242 0.0801
Ir 0.0000 0.0000 0.2132

VASP calculation (PBE) on a geometry-optimized MnHIrPt2 structure.

Properties
Polymorph energy (0 for the lowest one) ... 31 meV per atom

Lattice parameters (Å, degrees): 3.9057 3.9057 4.0790 90.00 90.00 90.00
Space group P4/mmm (No. 123)
Inequivalent atoms, fractional coordinates:
Mn 0.0000 0.0000 0.0000
H 0.0000 0.0000 0.5000
Ir 0.5000 0.5000 0.0000
Pt 0.0000 0.5000 0.5000

Number 1: theoretical density 9.9 Mg/m³, calculated volume 8.31 Å³/atom. Number 2: theoretical density 9.6 Mg/m³, calculated volume 8.48 Å³/atom. Number 3: theoretical density 17.0 Mg/m³, calculated volume 12.44 Å³/atom.